Here is a relaxed structure of LaThTePt from Alexandria via LeMat-Bulk. Energies are from PBE.

a = 4.2440 Å, b = 4.2461 Å, c = 8.2594 Å
α = 90.01°, β = 104.91°, γ = 120.00°
With the nearest neighbours (Å) after each atom.
Fractional coordinates of all 4 atoms:
Te 0.9641 0.3802 0.3592  3 Th 3.31-3.32, 3 La 3.37
La 0.4936 0.1447 0.6533  3 Pt 3.04, 3 Te 3.37
Th 0.1084 0.9521 0.0761  3 Pt 2.89
Pt 0.3118 0.5537 0.8811  3 Th 2.89, 3 La 3.04

## Properties
Density of states at the Fermi level in states/eV per cell: 4.30
DFT total energy in eV/cell: -26.49
Space-group type: R3m (160)



Here is a relaxed structure of K2Tl6Au3 from Alexandria via LeMat-Bulk. Energies are from PBE.

a = 5.0270 Å, b = 8.8850 Å, c = 8.8850 Å
α = 120.00°, β = 90.00°, γ = 90.00°
With the nearest neighbours (Å) after each atom.
Fractional coordinates of all 11 atoms:
K 0.0000 0.6667 0.3333  9 Tl 3.64-4.00, 6 Au 3.76
K 0.0000 0.3333 0.6667  9 Tl 3.64-4.00, 6 Au 3.76
Au 0.5000 0.3764 0.3764  5 Tl 2.86-3.07
Au 0.5000 0.6236 0.0000  5 Tl 2.86-3.07
Au 0.5000 0.0000 0.6236  5 Tl 2.86-3.07
Tl 0.5000 0.3018 0.0000  3 Au 2.86-3.07
Tl 0.5000 0.6982 0.6982  3 Au 2.86-3.07
Tl 0.0000 0.2087 0.2087  2 Au 2.92, 2 Tl 3.21
Tl 0.5000 0.0000 0.3018  3 Au 2.86-3.07
Tl 0.0000 0.7913 0.0000  2 Au 2.92, 2 Tl 3.21
Tl 0.0000 0.0000 0.7913  2 Au 2.92, 2 Tl 3.21

## Properties
DFT formation energy in eV/atom: -0.13
Density of states at the Fermi level in states/eV per cell: 3.74
DFT total energy in eV/cell: -27.68
Space-group type: P-62m (189)



Here is a relaxed structure of Y2MgBe4Pt3 from Alexandria via LeMat-Bulk. Energies are from PBE.

a = 3.9637 Å, b = 3.9637 Å, c = 10.1334 Å
α = 90.00°, β = 90.00°, γ = 90.00°
With the nearest neighbours (Å) after each atom.
Fractional coordinates of all 10 atoms:
Y 0.0000 0.5000 0.7636  8 Be 3.03-3.11, 6 Pt 3.04-3.33, 2 Mg 3.33
Y 0.5000 0.0000 0.2364  8 Be 3.03-3.11, 6 Pt 3.04-3.33, 2 Mg 3.33
Pt 0.5000 0.0000 0.8786  5 Be 2.32-2.33
Pt 0.0000 0.5000 0.1214  5 Be 2.32-2.33
Pt 0.0000 0.0000 0.5000  4 Be 2.49
Mg 0.5000 0.5000 0.5000  4 Be 2.49
Be 0.5000 0.0000 0.6493  3 Pt 2.32-2.49, 2 Mg 2.49
Be 0.0000 0.5000 0.3507  3 Pt 2.32-2.49, 2 Mg 2.49
Be 0.5000 0.5000 0.0000  4 Pt 2.33
Be 0.0000 0.0000 0.0000  4 Pt 2.33

## Properties
DFT formation energy in eV/atom: -0.68
Density of states at the Fermi level in states/eV per cell: 6.78
DFT total energy in eV/cell: -54.38
Space-group type: P-4m2 (115)



Here is a relaxed structure of Fe2MoCl from Alexandria via LeMat-Bulk. Energies are from PBE.

a = 2.8871 Å, b = 2.8871 Å, c = 7.3110 Å
α = 90.00°, β = 90.00°, γ = 90.00°
With the nearest neighbours (Å) after each atom.
Fractional coordinates of all 4 atoms:
Fe 0.0000 0.0000 0.0642  4 Fe 2.47
Fe 0.5000 0.5000 0.2553  4 Fe 2.47, 4 Mo 2.57
Mo 0.0000 0.0000 0.4678  4 Fe 2.57, 4 Cl 2.72
Cl 0.5000 0.5000 0.7127  4 Mo 2.72, 4 Cl 2.89

## Properties
Density of states at the Fermi level in states/eV per cell: 2.57
Energy above the most stable polymorph in this dataset in eV per atom: 0.0992
DFT total energy in eV/cell: -28.52
Space-group type: P4mm (99)



Here is a relaxed structure of SrP2RuPb from Alexandria via LeMat-Bulk. Energies are from PBE.

a = 5.4197 Å, b = 5.0838 Å, c = 5.4197 Å
α = 90.00°, β = 90.00°, γ = 90.00°
With the nearest neighbours (Å) after each atom.
Fractional coordinates of all 5 atoms:
Ru 0.0000 0.5000 0.0000  2 Sr 2.54
P 0.5000 0.0000 0.0000  2 Sr 2.71
P 0.0000 0.0000 0.5000  2 Sr 2.71
Pb 0.5000 0.5000 0.5000  8 P 3.72, 4 Ru 3.83
Sr 0.0000 0.0000 0.0000  2 Ru 2.54, 4 P 2.71

## Properties
DFT formation energy in eV/atom: 1.51
Density of states at the Fermi level in states/eV per cell: 5.28
DFT total energy in eV/cell: -17.94
Space-group type: P4/mmm (123)



Here is a relaxed structure of TaTlSe4 from Alexandria via LeMat-Bulk. Energies are from PBE.

a = 5.8969 Å, b = 7.7376 Å, c = 8.4057 Å
α = 117.40°, β = 89.30°, γ = 90.00°
With the nearest neighbours (Å) after each atom.
Fractional coordinates of all 12 atoms:
Ta 0.7330 0.4733 0.9466  5 Se 2.51-2.63
Ta 0.2670 0.5267 0.0534  5 Se 2.51-2.63
Se 0.6105 0.8152 0.2009  2 Ta 2.62-2.85, 1 Se 2.75
Se 0.3895 0.6144 0.7991  2 Ta 2.62-2.85, 1 Se 2.75
Se 0.3895 0.1848 0.7991  2 Ta 2.62-2.85, 1 Se 2.75
Se 0.6105 0.3856 0.2009  2 Ta 2.62-2.85, 1 Se 2.75
Se 0.2357 0.6949 0.3898  1 Ta 2.51
Se 0.7643 0.3051 0.6102  1 Ta 2.51
Se 0.0000 0.7664 0.0000  2 Ta 2.63, 2 Se 2.75
Se 0.0000 0.2336 0.0000  2 Ta 2.63, 2 Se 2.75
Tl 0.2472 0.2256 0.4512  4 Se 3.07-3.29
Tl 0.7528 0.7744 0.5488  4 Se 3.07-3.29

## Properties
Density of states at the Fermi level in states/eV per cell: 5.32
Energy above the most stable polymorph in this dataset in eV per atom: 0.0782
DFT total energy in eV/cell: -60.95
Space-group type: C2/m (12)